(1)
VASP calculation (PBE-GGA) on Tb2PmSmEr2 after structural relaxation.

Symmetry = Pnnm, No. 58
Magnetic moment = 0.001 μB per cell
DFT formation energy = 0.28 eV per atom

a = 6.557 Å, b = 17.844 Å, c = 3.394 Å
α = 90.00°, β = 90.00°, γ = 90.00°
Positions (direct):
Tb: 0.226 0.186 0.000
Tb: 0.274 0.686 0.500
Tb: 0.726 0.314 0.500
Tb: 0.774 0.814 0.000
Pm: 0.000 0.000 0.000
Pm: 0.500 0.500 0.500
Sm: 0.000 0.500 0.000
Sm: 0.500 0.000 0.500
Er: 0.225 0.351 0.500
Er: 0.275 0.851 0.000
Er: 0.725 0.149 0.000
Er: 0.775 0.649 0.500

---

(2)
VASP calculation (PBE-GGA) on RbBa2CaAu after structural relaxation.

Symmetry = P4/mmm, No. 123
Magnetic moment = 0.000 μB per cell
DFT formation energy = -0.27 eV per atom

a = 6.607 Å, b = 6.607 Å, c = 6.031 Å
α = 90.00°, β = 90.00°, γ = 90.00°
Positions (direct):
Rb: 0.000 0.000 0.000
Ba: 0.000 0.500 0.500
Ba: 0.500 0.000 0.500
Ca: 0.500 0.500 0.000
Au: 0.500 0.500 0.500

---

(3)
VASP calculation (PBE-GGA) on FeNi2PH after structural relaxation.

E = -0.208 Ha/atom
Symmetry = P4/mmm, No. 123
Magnetic moment = 3.226 μB per cell

a = 3.462 Å, b = 3.462 Å, c = 4.038 Å
α = 90.00°, β = 90.00°, γ = 90.00°
Positions (direct):
Fe: 0.000 0.000 0.000
Ni: 0.000 0.500 0.500
Ni: 0.500 0.000 0.500
P: 0.500 0.500 0.000
H: 0.500 0.500 0.500